[1]
A plane-wave DFT calculation with PBE-GGA was carried out for a geometry-optimized TbPrEr2Au4 structure.

Calculated values
- Density of states at the Fermi level: 0.543 states/eV/atom
- ΔE_f: -829 meV per atom
- Calculated volume: 23.933 A^3/atom

CIF file:
```
data_TbPrEr2Au4
_chemical_formula_sum 'Tb1 Pr1 Er2 Au4'
_cell_length_a 5.102
_cell_length_b 5.102
_cell_length_c 8.988
_cell_angle_alpha 73.51
_cell_angle_beta 73.51
_cell_angle_gamma 60.00
_space_group_name_H-M_alt 'P 1'
_space_group_IT_number 1
loop_
_space_group_symop_operation_xyz
'x,y,z'
loop_
_atom_site_label
_atom_site_fract_x
_atom_site_fract_y
_atom_site_fract_z
_atom_site_occupancy
Au1 0.128 0.128 0.616 1
Er1 0.751 0.751 0.746 1
Au2 0.619 0.619 0.143 1
Au3 0.381 0.381 0.857 1
Er2 0.249 0.249 0.254 1
Pr1 0.000 0.000 0.000 1
Tb1 0.500 0.500 0.500 1
Au4 0.872 0.872 0.384 1
```

[2]
A plane-wave DFT calculation with PBE-GGA was carried out for a geometry-optimized PrErZnAu structure.

Calculated values
- Density of states at the Fermi level: 0.857 states/eV/atom
- ΔE_f: -574 meV per atom
- Calculated volume: 24.125 A^3/atom
- Energy above the lowest structure with this stoichiometry: 0.00 eV per formula unit

CIF file:
```
data_PrErZnAu
_chemical_formula_sum 'Pr1 Er1 Zn1 Au1'
_cell_length_a 3.638
_cell_length_b 3.638
_cell_length_c 7.293
_cell_angle_alpha 90.00
_cell_angle_beta 90.00
_cell_angle_gamma 90.00
_space_group_name_H-M_alt 'P 1'
_space_group_IT_number 1
loop_
_space_group_symop_operation_xyz
'x,y,z'
loop_
_atom_site_label
_atom_site_fract_x
_atom_site_fract_y
_atom_site_fract_z
_atom_site_occupancy
Er1 0.500 0.500 0.109 1
Au1 0.000 0.000 0.325 1
Pr1 0.500 0.500 0.613 1
Zn1 0.000 0.000 0.880 1
```

[3]
A plane-wave DFT calculation with PBE-GGA was carried out for a geometry-optimized PrErZnAu structure.

Calculated values
- Density of states at the Fermi level: 0.567 states/eV/atom
- ΔE_f: -543 meV per atom
- Calculated volume: 24.322 A^3/atom
- Energy above the lowest structure with this stoichiometry: 0.12 eV per formula unit

CIF file:
```
data_PrErZnAu
_chemical_formula_sum 'Pr1 Er1 Zn1 Au1'
_cell_length_a 5.162
_cell_length_b 5.162
_cell_length_c 5.162
_cell_angle_alpha 60.00
_cell_angle_beta 60.00
_cell_angle_gamma 60.00
_space_group_name_H-M_alt 'P 1'
_space_group_IT_number 1
loop_
_space_group_symop_operation_xyz
'x,y,z'
loop_
_atom_site_label
_atom_site_fract_x
_atom_site_fract_y
_atom_site_fract_z
_atom_site_occupancy
Er1 0.000 0.000 0.000 1
Au1 0.250 0.250 0.250 1
Zn1 0.750 0.750 0.750 1
Pr1 0.500 0.500 0.500 1
```